[1]
LaTh2As2Rh7 after structural relaxation. Source: Alexandria via LeMat-Bulk, functional GGA-PBE.

The value obtained for the formation enthalpy at 0 K is -0.7627 eV/atom.

a b c (Å): 5.848 5.780 13.645
angles (deg): 90.00 98.46 90.00
Space group C2/m (No. 12)
Unique sites:
La (0.000, 0.000, 0.000)
Th (0.113, 0.000, 0.352)
As (0.087, 0.500, 0.256)
Rh (0.000, 0.500, 0.000)
Rh (0.157, 0.500, 0.436)
Rh (0.194, 0.250, 0.836)

***

[2]
CoPb2Cl after structural relaxation. Source: Alexandria via LeMat-Bulk, functional GGA-PBE.

Its formation energy from raw total energies is 44.8 kJ/mol of atoms. For the energy relative to the lowest polymorph listed for this composition, the calculation gives 482 meV per atom.

a b c (Å): 7.281 7.281 7.281
angles (deg): 90.00 90.00 90.00
Space group F-43m (No. 216)
Unique sites:
Co (0.000, 0.000, 0.000)
Pb (0.000, 0.000, 0.500)
Pb (0.250, 0.250, 0.250)
Cl (0.250, 0.250, 0.750)

***

[3]
Li3AlO after structural relaxation. Source: Alexandria via LeMat-Bulk, functional GGA-PBE.

Its formation energy from raw total energies is -74.9 kJ/mol of atoms. For the energy relative to the lowest polymorph listed for this composition, the calculation gives 0 meV per atom.

a b c (Å): 4.004 4.004 4.004
angles (deg): 90.00 90.00 90.00
Space group Pm-3m (No. 221)
Unique sites:
Li (0.000, 0.000, 0.500)
Al (0.500, 0.500, 0.500)
O (0.000, 0.000, 0.000)

***

[4]
EuHgRh after structural relaxation. Source: Alexandria via LeMat-Bulk, functional GGA-PBE.

For the energy relative to the lowest polymorph listed for this composition, the calculation gives 45 meV per atom. The value obtained for the formation enthalpy at 0 K is -0.2666 eV/atom.

a b c (Å): 6.722 6.722 6.722
angles (deg): 90.00 90.00 90.00
Space group F-43m (No. 216)
Unique sites:
Eu (0.000, 0.000, 0.000)
Hg (0.000, 0.000, 0.500)
Rh (0.250, 0.250, 0.750)

***

[5]
SbTeAs2 after structural relaxation. Source: Alexandria via LeMat-Bulk, functional GGA-PBE.

Its formation energy from raw total energies is 7.4 kJ/mol of atoms. For the energy relative to the lowest polymorph listed for this composition, the calculation gives 6 meV per atom.

a b c (Å): 4.986 4.166 5.435
angles (deg): 90.00 107.62 90.00
Space group P2/m (No. 10)
Unique sites:
Sb (0.000, 0.000, 0.000)
Te (0.500, 0.000, 0.500)
As (0.287, 0.500, 0.802)

***

[6]
LiZrCd2 after structural relaxation. Source: Alexandria via LeMat-Bulk, functional GGA-PBE.

For the energy relative to the lowest polymorph listed for this composition, the calculation gives 199 meV per atom. The value obtained for the formation enthalpy at 0 K is 0.0275 eV/atom.

a b c (Å): 9.550 2.858 6.214
angles (deg): 90.00 95.45 90.00
Space group C2/m (No. 12)
Unique sites:
Li (0.000, 0.000, 0.000)
Zr (0.000, 0.500, 0.500)
Cd (0.249, 0.000, 0.772)

***

[7]
Dy3Tm5Tl after structural relaxation. Source: Alexandria via LeMat-Bulk, functional GGA-PBE.

The value obtained for the formation enthalpy at 0 K is 0.4031 eV/atom.

a b c (Å): 11.922 11.191 10.119
angles (deg): 90.00 109.15 90.00
Space group C2/m (No. 12)
Unique sites:
Dy (0.000, 0.000, 0.000)
Dy (0.000, 0.000, 0.311)
Dy (0.000, 0.500, 0.500)
Dy (0.004, 0.500, 0.173)
Tm (0.000, 0.229, 0.500)
Tm (0.187, 0.241, 0.298)
Tm (0.235, 0.000, 0.557)
Tm (0.249, 0.500, 0.093)
Tl (0.233, 0.500, 0.772)

***

[8]
TiV4Tc5 after structural relaxation. Source: Alexandria via LeMat-Bulk, functional GGA-PBE.

The value obtained for the formation enthalpy at 0 K is -0.4050 eV/atom.

a b c (Å): 3.041 3.041 15.228
angles (deg): 90.00 90.00 90.00
Space group P4/mmm (No. 123)
Unique sites:
Ti (0.000, 0.000, 0.000)
V (0.000, 0.000, 0.201)
V (0.000, 0.000, 0.400)
Tc (0.500, 0.500, 0.105)
Tc (0.500, 0.500, 0.302)
Tc (0.500, 0.500, 0.500)

***

[9]
SmInIrRh after structural relaxation. Source: Alexandria via LeMat-Bulk, functional GGA-PBE.

The value obtained for the formation enthalpy at 0 K is -0.5256 eV/atom.

a b c (Å): 6.745 6.745 6.745
angles (deg): 90.00 90.00 90.00
Space group F-43m (No. 216)
Unique sites:
Sm (0.000, 0.000, 0.000)
In (0.000, 0.000, 0.500)
Ir (0.250, 0.250, 0.250)
Rh (0.250, 0.250, 0.750)

***

[10]
AcY5Er6 after structural relaxation. Source: Alexandria via LeMat-Bulk, functional GGA-PBE.

The value obtained for the formation enthalpy at 0 K is 0.0382 eV/atom.

a b c (Å): 6.192 10.719 11.841
angles (deg): 90.00 100.02 90.00
Space group C2/m (No. 12)
Unique sites:
Ac (0.000, 0.000, 0.000)
Y (0.000, 0.167, 0.500)
Y (0.000, 0.333, 0.000)
Y (0.000, 0.500, 0.500)
Er (0.248, 0.332, 0.746)
Er (0.249, 0.500, 0.254)

***

[11]
CdIrW3 after structural relaxation. Source: Alexandria via LeMat-Bulk, functional GGA-PBE.

For the energy relative to the lowest polymorph listed for this composition, the calculation gives 0 meV per atom. The value obtained for the formation enthalpy at 0 K is 1.8336 eV/atom.

a b c (Å): 4.784 4.784 4.784
angles (deg): 90.00 90.00 90.00
Space group Pm-3m (No. 221)
Unique sites:
Cd (0.000, 0.000, 0.000)
Ir (0.500, 0.500, 0.500)
W (0.000, 0.500, 0.500)

***

[12]
La2HgPd5Pt2 after structural relaxation. Source: Alexandria via LeMat-Bulk, functional GGA-PBE.

The value obtained for the formation enthalpy at 0 K is -0.7124 eV/atom.

a b c (Å): 9.655 9.655 4.249
angles (deg): 90.00 90.00 90.00
Space group P4/mbm (No. 127)
Unique sites:
La (0.172, 0.328, 0.000)
Hg (0.000, 0.000, 0.000)
Pd (0.000, 0.500, 0.500)
Pd (0.066, 0.797, 0.500)
Pt (0.126, 0.626, 0.000)

***

Total energy? In order: -179.4; -58.1; -18.3; -74.9; -16.3; -24.4; -139.6; -100.2; -103.1; -126.7; -39.5; -110.7 eV/cell.
Theoretical density? In order: 10.72; 8.76; 1.65; 9.96; 6.16; 6.35; 8.00; 8.75; 12.13; 7.19; 12.98; 11.74 g cm⁻³.